The following is a meta-GGA SCAN calculation of a PBEsol-optimized structure of MnCuNi2, from the Alexandria database.

Lattice parameters (Å, degrees): 2.6114 3.2925 5.1426 90.00 90.00 90.00
Last column: magnetic moment on the atom in μB.
Element x y z (fractional)
Ni1 0.0000 0.0000 0.7508  0.56
Ni2 0.0000 0.0000 0.2492  0.56
Mn1 0.5000 0.5000 0.5000  3.53
Cu1 0.5000 0.5000 0.0000  0.02

Values from the calculation:
Its formation energy is -0.148 eV/atom. The value obtained for the total moment is 1.135 μB/atom. Its calculated total energy is -16.60 eV per atom. Its space group is Pmmm.

***

The following is a meta-GGA SCAN calculation of a PBEsol-optimized structure of HoH3O3, from the Alexandria database.

Lattice parameters (Å, degrees): 3.4633 6.1868 6.1868 120.00 90.00 90.00
Element x y z (fractional)
H1 0.7500 0.1302 0.2780
H2 0.2500 0.2780 0.1479
H3 0.7500 0.7220 0.8521
H4 0.2500 0.8698 0.7220
H5 0.2500 0.8521 0.1302
H6 0.7500 0.1479 0.8698
Ho1 0.7500 0.6667 0.3333
Ho2 0.2500 0.3333 0.6667
O1 0.2500 0.3940 0.0836
O2 0.7500 0.3104 0.3940
O3 0.7500 0.6060 0.9164
O4 0.2500 0.6896 0.6060
O5 0.2500 0.9164 0.3104
O6 0.7500 0.0836 0.6896

Values from the calculation:
The value obtained for the total moment is 0.000 μB/atom. Its calculated total energy is -13.28 eV per atom. Its space group is P6_3/m.

***

The following is a meta-GGA SCAN calculation of a PBEsol-optimized structure of ZrAgC3, from the Alexandria database.

Lattice parameters (Å, degrees): 3.9775 3.9775 3.9775 90.00 90.00 90.00
Element x y z (fractional)
C1 0.0000 0.5000 0.0000
C2 0.0000 0.0000 0.5000
C3 0.5000 0.0000 0.0000
Zr1 0.5000 0.5000 0.5000
Ag1 0.0000 0.0000 0.0000

Values from the calculation:
Its formation energy is 2.422 eV/atom. The value obtained for the total moment is 0.000 μB/atom. Its calculated total energy is -16.05 eV per atom. The value obtained for the relative energy among the computed polymorphs is 123 meV per atom. Its space group is Pm-3m.

***

The following is a meta-GGA SCAN calculation of a PBEsol-optimized structure of AsHPb2, from the Alexandria database.

Lattice parameters (Å, degrees): 4.9465 4.9465 4.9465 60.00 60.00 60.00
Element x y z (fractional)
Pb1 0.2500 0.2500 0.2500
Pb2 0.7500 0.7500 0.7500
H1 0.0000 0.0000 0.0000
As1 0.5000 0.5000 0.5000

Values from the calculation:
The value obtained for the total moment is 0.000 μB/atom. Its calculated total energy is -43.41 eV per atom. Its space group is Fm-3m.

***

The following is a meta-GGA SCAN calculation of a PBEsol-optimized structure of ReNiRu, from the Alexandria database.

Lattice parameters (Å, degrees): 2.6641 3.7047 4.5189 114.20 107.14 90.00
Element x y z (fractional)
Re1 0.6652 0.6652 0.3303
Ru1 0.3346 0.3346 0.6693
Ni1 0.0001 0.0001 0.0002

Values from the calculation:
Its formation energy is -0.004 eV/atom. The value obtained for the total moment is 0.000 μB/atom. Its calculated total energy is -40.70 eV per atom. The value obtained for the relative energy among the computed polymorphs is 0 meV per atom. Its space group is Imm2.

***

The following is a meta-GGA SCAN calculation of a PBEsol-optimized structure of Zr2ScAu, from the Alexandria database.

Lattice parameters (Å, degrees): 3.2347 3.2347 7.8786 90.00 90.00 90.00
Element x y z (fractional)
Sc1 0.5000 0.5000 0.7273
Au1 0.0000 0.0000 0.5056
Zr1 0.0000 0.0000 0.9997
Zr2 0.5000 0.5000 0.2674

Values from the calculation:
Its formation energy is -0.455 eV/atom. The value obtained for the total moment is 0.000 μB/atom. Its calculated total energy is -36.65 eV per atom. Its space group is P4mm.